DFT (PBE) results for a geometry-optimized BeZn2Ru structure.

Calculated values
Final energy, eV per atom: -4.0057
Formation enthalpy at 0 K, eV per atom: -0.118

a = 3.5798 Å, b = 3.5798 Å, c = 3.9022 Å
α = 90.00°, β = 90.00°, γ = 90.00°
Positions (direct):
1 Be 0.0000 0.0000 0.0000
2 Zn 0.0000 0.5000 0.5000
3 Zn 0.5000 0.0000 0.5000
4 Ru 0.5000 0.5000 0.0000

***

DFT (PBE) results for a geometry-optimized LaCeTh structure.

Calculated values
Final energy, eV per atom: -6.0583
Formation enthalpy at 0 K, eV per atom: 0.035

a = 3.5462 Å, b = 3.5462 Å, c = 15.0983 Å
α = 90.00°, β = 90.00°, γ = 90.00°
Positions (direct):
1 La 0.2500 0.2500 0.0968
2 La 0.7500 0.7500 0.9032
3 Ce 0.2500 0.2500 0.7400
4 Ce 0.7500 0.7500 0.2600
5 Th 0.2500 0.2500 0.4170
6 Th 0.7500 0.7500 0.5830

***

DFT (PBE) results for a geometry-optimized RbHoAgBr6 structure.

Calculated values
Final energy, eV per atom: -3.3346
Formation energy from raw total energies, eV per atom: -1.29

a = 7.1218 Å, b = 7.1218 Å, c = 7.7012 Å
α = 92.45°, β = 92.45°, γ = 115.18°
Positions (direct):
1 Rb 0.0000 0.0000 0.0000
2 Ho 0.3349 0.6651 0.5000
3 Ag 0.6806 0.3194 0.5000
4 Br 0.0223 0.3568 0.6819
5 Br 0.0292 0.6212 0.2569
6 Br 0.3788 0.9708 0.7431
7 Br 0.4074 0.3690 0.2843
8 Br 0.6310 0.5926 0.7157
9 Br 0.6432 0.9777 0.3181

***

DFT (PBE) results for a geometry-optimized CaZn2Cr structure.

Calculated values
Final energy, eV per atom: -3.3325
Formation enthalpy at 0 K, eV per atom: 0.211

a = 3.4100 Å, b = 3.4100 Å, c = 6.9001 Å
α = 90.00°, β = 90.00°, γ = 90.00°
Positions (direct):
1 Ca 0.0000 0.0000 0.0000
2 Zn 0.0000 0.0000 0.4980
3 Zn 0.5000 0.5000 0.7091
4 Cr 0.5000 0.5000 0.3206

***

DFT (PBE) results for a geometry-optimized Y2InSn2 structure.

Calculated values
Final energy, eV per atom: -5.3094
Formation enthalpy at 0 K, eV per atom: -0.575

a = 7.8454 Å, b = 7.8454 Å, c = 4.4204 Å
α = 90.00°, β = 90.00°, γ = 90.00°
Positions (direct):
1 Y 0.1750 0.3250 0.0000
2 Y 0.3250 0.8250 0.0000
3 Y 0.6750 0.1750 0.0000
4 Y 0.8250 0.6750 0.0000
5 In 0.0000 0.0000 0.5000
6 In 0.5000 0.5000 0.5000
7 Sn 0.1299 0.6299 0.5000
8 Sn 0.3701 0.1299 0.5000
9 Sn 0.6299 0.8701 0.5000
10 Sn 0.8701 0.3701 0.5000

***

DFT (PBE) results for a geometry-optimized Er2ThCo structure.

Calculated values
Final energy, eV per atom: -5.7367
Formation enthalpy at 0 K, eV per atom: 0.176

a = 10.4692 Å, b = 10.4692 Å, c = 10.4692 Å
α = 19.24°, β = 19.24°, γ = 19.24°
Positions (direct):
1 Er 0.1124 0.1124 0.1124
2 Er 0.8876 0.8876 0.8876
3 Th 0.0000 0.0000 0.0000
4 Co 0.5000 0.5000 0.5000

***

DFT (PBE) results for a geometry-optimized BeZnRh2 structure.

Calculated values
Final energy, eV per atom: -5.2319
Formation enthalpy at 0 K, eV per atom: -0.306

a = 4.7875 Å, b = 4.7875 Å, c = 4.2919 Å
α = 110.35°, β = 110.35°, γ = 33.75°
Positions (direct):
1 Be 0.0000 0.0000 0.0000
2 Zn 0.7517 0.7517 0.3893
3 Rh 0.2625 0.2625 0.9062
4 Rh 0.5074 0.5074 0.5163

***

DFT (PBE) results for a geometry-optimized Zr2C3 structure.

Calculated values
Final energy, eV per atom: -8.6719
Formation enthalpy at 0 K, eV per atom: 0.282

a = 6.0696 Å, b = 5.1109 Å, c = 7.2097 Å
α = 55.95°, β = 44.24°, γ = 79.81°
Positions (direct):
1 Zr 0.1331 0.8669 0.2838
2 Zr 0.5338 0.9662 0.3831
3 Zr 0.8669 0.1331 0.7162
4 Zr 0.9662 0.5338 0.1169
5 C 0.0747 0.4487 0.7484
6 C 0.1448 0.1448 0.8552
7 C 0.3948 0.3948 0.1052
8 C 0.4487 0.0747 0.7281
9 C 0.5016 0.5219 0.1753
10 C 0.5219 0.5016 0.8013

***

DFT (PBE) results for a geometry-optimized Tl2CdNi2 structure.

Calculated values
Final energy, eV per atom: -3.0954
Formation enthalpy at 0 K, eV per atom: 0.347

a = 7.7281 Å, b = 7.7281 Å, c = 3.1288 Å
α = 90.00°, β = 90.00°, γ = 90.00°
Positions (direct):
1 Tl 0.1476 0.3524 0.0000
2 Tl 0.3524 0.8524 0.0000
3 Tl 0.6476 0.1476 0.0000
4 Tl 0.8524 0.6476 0.0000
5 Cd 0.0000 0.0000 0.0000
6 Cd 0.5000 0.5000 0.0000
7 Ni 0.1494 0.6494 0.5000
8 Ni 0.3506 0.1494 0.5000
9 Ni 0.6494 0.8506 0.5000
10 Ni 0.8506 0.3506 0.5000

***

DFT (PBE) results for a geometry-optimized YTa2As structure.

Calculated values
Final energy, eV per atom: -8.5252
Formation enthalpy at 0 K, eV per atom: 0.180

a = 10.8628 Å, b = 10.8628 Å, c = 10.8628 Å
α = 158.69°, β = 158.69°, γ = 30.31°
Positions (direct):
1 Y 0.0000 0.0000 0.0000
2 Y 0.7500 0.2500 0.5000
3 Ta 0.1331 0.1250 0.5081
4 Ta 0.3750 0.8669 0.9919
5 Ta 0.6169 0.6250 0.4919
6 Ta 0.8750 0.3831 0.0081
7 As 0.2500 0.7500 0.5000
8 As 0.5000 0.5000 0.0000

***

DFT (PBE) results for a geometry-optimized AcTb4Nd4 structure.

Calculated values
Final energy, eV per atom: -4.6052
Formation enthalpy at 0 K, eV per atom: 0.028

a = 6.3462 Å, b = 9.6968 Å, c = 10.9830 Å
α = 100.84°, β = 106.75°, γ = 96.29°
Positions (direct):
1 Ac 0.2486 0.4161 0.1964
2 Ac 0.7514 0.5839 0.8036
3 Tb 0.2444 0.4145 0.5280
4 Tb 0.2491 0.0835 0.6365
5 Tb 0.2497 0.0793 0.3082
6 Tb 0.2585 0.7559 0.0868
7 Tb 0.7415 0.2441 0.9132
8 Tb 0.7503 0.9207 0.6918
9 Tb 0.7509 0.9165 0.3634
10 Tb 0.7556 0.5855 0.4720
11 Nd 0.2464 0.0804 0.9700
12 Nd 0.2481 0.4123 0.8573
13 Nd 0.2503 0.7546 0.7480
14 Nd 0.2539 0.7551 0.4191
15 Nd 0.7461 0.2449 0.5809
16 Nd 0.7497 0.2454 0.2520
17 Nd 0.7519 0.5877 0.1427
18 Nd 0.7536 0.9196 0.0300

***

DFT (PBE) results for a geometry-optimized Sm2FeNi3Ge4 structure.

Calculated values
Final energy, eV per atom: -6.0000
Formation enthalpy at 0 K, eV per atom: -0.629

a = 4.1214 Å, b = 4.1214 Å, c = 9.8055 Å
α = 90.00°, β = 90.00°, γ = 90.00°
Positions (direct):
1 Sm 0.0000 0.5000 0.2479
2 Sm 0.5000 0.0000 0.7521
3 Fe 0.0000 0.0000 0.5000
4 Ni 0.0000 0.5000 0.8743
5 Ni 0.5000 0.0000 0.1257
6 Ni 0.5000 0.5000 0.5000
7 Ge 0.0000 0.0000 0.0000
8 Ge 0.0000 0.5000 0.6300
9 Ge 0.5000 0.0000 0.3700
10 Ge 0.5000 0.5000 0.0000

***

DFT (PBE) results for a geometry-optimized K2Na4P structure.

Calculated values
Final energy, eV per atom: -1.9295
Formation enthalpy at 0 K, eV per atom: -0.089

a = 11.5849 Å, b = 11.5849 Å, c = 11.5849 Å
α = 152.44°, β = 152.44°, γ = 39.37°
Positions (direct):
1 K 0.1869 0.1869 0.0000
2 K 0.8131 0.8131 0.0000
3 Na 0.0000 0.5000 0.5000
4 Na 0.3751 0.3751 0.0000
5 Na 0.5000 0.0000 0.5000
6 Na 0.6249 0.6249 0.0000
7 P 0.5000 0.5000 0.0000

***

DFT (PBE) results for a geometry-optimized TiFeCo3 structure.

Calculated values
Final energy, eV per atom: -6.6786
Formation enthalpy at 0 K, eV per atom: 0.856

a = 4.2177 Å, b = 4.2177 Å, c = 4.2177 Å
α = 90.00°, β = 90.00°, γ = 90.00°
Positions (direct):
1 Ti 0.0000 0.0000 0.0000
2 Fe 0.5000 0.5000 0.5000
3 Co 0.0000 0.5000 0.5000
4 Co 0.5000 0.0000 0.5000
5 Co 0.5000 0.5000 0.0000

***

DFT (PBE) results for a geometry-optimized PmZnPO structure.

Calculated values
Final energy, eV per atom: -5.9374
Formation energy from raw total energies, eV per atom: -1.84

a = 10.5988 Å, b = 10.5988 Å, c = 10.5988 Å
α = 21.64°, β = 21.64°, γ = 21.64°
Positions (direct):
1 Pm 0.1190 0.1190 0.1190
2 Pm 0.8810 0.8810 0.8810
3 Zn 0.3039 0.3039 0.3039
4 Zn 0.6961 0.6961 0.6961
5 P 0.3863 0.3863 0.3863
6 P 0.6137 0.6137 0.6137
7 O 0.1949 0.1949 0.1949
8 O 0.8051 0.8051 0.8051

***

DFT (PBE) results for a geometry-optimized KLiSb2 structure.

Calculated values
Final energy, eV per atom: -2.9049
Formation energy from raw total energies, eV per atom: -0.09

a = 5.4953 Å, b = 5.4953 Å, c = 5.4953 Å
α = 60.00°, β = 60.00°, γ = 60.00°
Positions (direct):
1 K 0.0000 0.0000 0.0000
2 Li 0.2500 0.2500 0.2500
3 Sb 0.5000 0.5000 0.5000
4 Sb 0.7500 0.7500 0.7500

***

DFT (PBE) results for a geometry-optimized Tm6GaSb3 structure.

Calculated values
Final energy, eV per atom: -4.8025
Formation energy from raw total energies, eV per atom: -0.58

a = 9.2144 Å, b = 9.2144 Å, c = 7.2129 Å
α = 90.00°, β = 90.00°, γ = 108.15°
Positions (direct):
1 Tm 0.0137 0.9863 0.5000
2 Tm 0.0942 0.5502 0.9625
3 Tm 0.2525 0.7475 0.4072
4 Tm 0.2548 0.3669 0.3531
5 Tm 0.3669 0.2548 0.8531
6 Tm 0.4498 0.9058 0.9625
7 Tm 0.5502 0.0942 0.4625
8 Tm 0.6331 0.7452 0.3531
9 Tm 0.7452 0.6331 0.8531
10 Tm 0.7475 0.2525 0.9072
11 Tm 0.9058 0.4498 0.4625
12 Tm 0.9863 0.0137 0.0000
13 Ga 0.1573 0.8427 0.7648
14 Ga 0.8427 0.1573 0.2648
15 Sb 0.0735 0.2844 0.7135
16 Sb 0.2844 0.0735 0.2135
17 Sb 0.4279 0.5721 0.0468
18 Sb 0.5721 0.4279 0.5468
19 Sb 0.7156 0.9265 0.7135
20 Sb 0.9265 0.7156 0.2135

***

DFT (PBE) results for a geometry-optimized La2HoTh structure.

Calculated values
Final energy, eV per atom: -5.2550
Formation enthalpy at 0 K, eV per atom: 0.208

a = 5.8019 Å, b = 5.8019 Å, c = 5.8019 Å
α = 60.00°, β = 60.00°, γ = 60.00°
Positions (direct):
1 La 0.2500 0.2500 0.2500
2 La 0.7500 0.7500 0.7500
3 Ho 0.0000 0.0000 0.0000
4 Th 0.5000 0.5000 0.5000

***

DFT (PBE) results for a geometry-optimized Li2TaCl structure.

Calculated values
Final energy, eV per atom: -4.0699
Formation energy from raw total energies, eV per atom: 0.31

a = 5.6876 Å, b = 5.6876 Å, c = 5.6876 Å
α = 100.61°, β = 100.61°, γ = 129.17°
Positions (direct):
1 Li 0.0622 0.6250 0.9372
2 Li 0.3750 0.3122 0.4372
3 Li 0.6878 0.1250 0.0628
4 Li 0.8750 0.9378 0.5628
5 Ta 0.2500 0.7500 0.5000
6 Ta 0.5000 0.5000 0.0000
7 Cl 0.0000 0.0000 0.0000
8 Cl 0.7500 0.2500 0.5000

***

DFT (PBE) results for a geometry-optimized MnCo2Ru structure.

Calculated values
Final energy, eV per atom: -8.0428
Formation enthalpy at 0 K, eV per atom: 0.121

a = 4.4063 Å, b = 4.4063 Å, c = 4.3796 Å
α = 100.00°, β = 100.00°, γ = 34.18°
Positions (direct):
1 Mn 0.0000 0.0000 0.0000
2 Co 0.4945 0.4945 0.4862
3 Co 0.7497 0.7497 0.2508
4 Ru 0.2452 0.2452 0.7404

***

| no. | size of the total moment (μB/f.u.) |
| --- | --- |
| 1 | 0.00 |
| 2 | 0.00 |
| 3 | 0.92 |
| 4 | 4.14 |
| 5 | 0.00 |
| 6 | 0.00 |
| 7 | 0.00 |
| 8 | 0.00 |
| 9 | 0.00 |
| 10 | 0.00 |
| 11 | 0.00 |
| 12 | 1.86 |
| 13 | 0.00 |
| 14 | 5.60 |
| 15 | 0.00 |
| 16 | 0.00 |
| 17 | 0.00 |
| 18 | 0.00 |
| 19 | 0.00 |
| 20 | 3.58 |